This record from the Alexandria database describes a relaxed RbCoBr2F crystal. The functional is PBE with a Hubbard U.

Cell: 5.495 5.495 4.003 Å, 90.00 90.00 90.00°
Each line ends with the local moment (μB).
Fractional positions:
Co 0.000 0.000 0.000  2.70
Br 0.000 0.500 0.000  0.06
Br 0.500 0.000 0.000  0.06
Rb 0.500 0.500 0.500  0.00
F 0.000 0.000 0.500  0.12

Summary:
As for the energy above the most stable polymorph in this dataset: 92 kJ/mol of formula units. For the total moment, the calculation gives 3.00 μB per formula unit.